The following is a GGA-PBE calculation of a relaxed structure of AlCo2Hg, from Alexandria via LeMat-Bulk.

Results
* energy above the lowest structure with this stoichiometry: 0.000 eV/atom

```
data_AlCo2Hg
_chemical_formula_sum 'Al1 Co2 Hg1'
_space_group_name_H-M_alt 'P 4/m m m'
_space_group_IT_number 123
_space_group_name_Hall '-P 4 2'
_cell_length_a 2.926
_cell_length_b 2.926
_cell_length_c 6.373
_cell_angle_alpha 90.00
_cell_angle_beta 90.00
_cell_angle_gamma 90.00
loop_
_atom_site_label
_atom_site_type_symbol
_atom_site_fract_x
_atom_site_fract_y
_atom_site_fract_z
Al1 Al 0.000 0.000 0.000
Co1 Co 0.500 0.500 0.212
Hg1 Hg 0.000 0.000 0.500
```